No. 1
# CdPd2Pb2 (meta-GGA SCAN, PBEsol geometry)
# total magnetization	0.00	μB per formula unit
# formation enthalpy at 0 K	110	meV per atom
# D(E_F)	2.48	states/eV/f.u.
# distance to the lowest polymorph of the same formula	28.15	kJ per mole of atoms
data_CdPd2Pb2
_symmetry_space_group_name_H-M 'I 4/m m m'
_symmetry_Int_Tables_number 139
_symmetry_space_group_name_Hall '-I 4 2'
_cell_length_a 4.495
_cell_length_b 4.495
_cell_length_c 11.621
_cell_angle_alpha 90.00
_cell_angle_beta 90.00
_cell_angle_gamma 90.00
loop_
_atom_site_label
_atom_site_type_symbol
_atom_site_fract_x
_atom_site_fract_y
_atom_site_fract_z
_atom_site_occupancy
Cd1 Cd 0.000 0.000 0.000 1
Pd1 Pd 0.000 0.000 0.391 1
Pb1 Pb 0.000 0.500 0.250 1



No. 2
# DyCr2Si2C (meta-GGA SCAN, PBEsol geometry)
# total magnetization	2.14	μB per formula unit
# D(E_F)	2.58	states/eV/f.u.
data_DyCr2Si2C
_symmetry_space_group_name_H-M 'P 4/m m m'
_symmetry_Int_Tables_number 123
_symmetry_space_group_name_Hall '-P 4 2'
_cell_length_a 3.915
_cell_length_b 3.915
_cell_length_c 5.177
_cell_angle_alpha 90.00
_cell_angle_beta 90.00
_cell_angle_gamma 90.00
loop_
_atom_site_label
_atom_site_type_symbol
_atom_site_fract_x
_atom_site_fract_y
_atom_site_fract_z
_atom_site_occupancy
Dy1 Dy 0.000 0.000 0.000 1
Cr1 Cr 0.000 0.500 0.500 1
Si1 Si 0.500 0.500 0.230 1
C1 C 0.000 0.000 0.500 1



No. 3
# SbP2WS (meta-GGA SCAN, PBEsol geometry)
# total magnetization	2.38	μB per formula unit
# D(E_F)	2.04	states/eV/f.u.
data_SbP2WS
_symmetry_space_group_name_H-M 'P 4/m m m'
_symmetry_Int_Tables_number 123
_symmetry_space_group_name_Hall '-P 4 2'
_cell_length_a 4.842
_cell_length_b 4.842
_cell_length_c 4.782
_cell_angle_alpha 90.00
_cell_angle_beta 90.00
_cell_angle_gamma 90.00
loop_
_atom_site_label
_atom_site_type_symbol
_atom_site_fract_x
_atom_site_fract_y
_atom_site_fract_z
_atom_site_occupancy
Sb1 Sb 0.000 0.000 0.000 1
P1 P 0.000 0.500 0.000 1
W1 W 0.500 0.500 0.500 1
S1 S 0.000 0.000 0.500 1



Computed values of DFT total energy (unit: eV per atom) for the preceding records, in sequence: -49.395, -19.616, -25.575.